CeNd3N4 | Alexandria | PBE | optimized geometry; V = 16.84 Å³ per atom; raw total energy = -8.107 eV per atom; spin magnetization = 0.00 μB/f.u.; density of states at the Fermi level = 0.3878 states/eV/atom; formation energy (no corrections) = -1.42 eV per atom
1.0
3.627 -5.116 0.000
3.627 5.116 0.000
0.000 0.000 3.630
Ce Nd N
1 3 4
direct
0.000 0.000 0.000
0.000 0.500 0.500
0.500 0.000 0.500
0.500 0.500 0.000
0.239 0.239 0.500
0.242 0.758 0.000
0.758 0.242 0.000
0.761 0.761 0.500